[1]
Re2SnWCl: relaxed, GGA-PBE.

Structure (POSCAR):
```
Re2SnWCl
1.0
4.9943 0.0000 0.0000
0.0000 4.7515 0.0000
0.0000 0.0000 4.9943
W Re Cl Sn
1 2 1 1
Cartesian
2.4971 2.3757 2.4971
2.4971 0.0000 0.0000
0.0000 0.0000 2.4971
0.0000 2.3757 0.0000
0.0000 0.0000 0.0000
```

Output
Raw formation energy: 2.97 eV per atom

[2]
Na2CeTlI6: relaxed, GGA-PBE.

Structure (POSCAR):
```
Na2CeTlI6
1.0
-1.9972 1.7070 -7.7957
4.0784 -3.5951 -6.1731
-4.2648 -6.3023 -4.6287
I Ce Tl Na
6 1 1 2
Cartesian
-0.4889 -2.0373 -11.9786
-4.1318 -4.0107 -10.0150
-1.0151 -6.7396 -10.9606
2.2783 -4.4396 -8.7494
-1.2025 -1.3905 -7.1895
-1.9476 -5.9042 -6.9002
0.5811 -0.7578 -4.6557
-0.6783 -5.0449 -13.9529
-4.2056 -6.2352 -4.6290
-0.8768 -3.8492 -9.3001
```

Output
Raw formation energy: -1.17 eV per atom

[3]
Sr4SeCl6: relaxed, GGA-PBE.

Structure (POSCAR):
```
Sr4SeCl6
1.0
7.0636 0.0000 0.0000
0.0000 9.9618 0.0000
0.0000 0.0000 9.9618
Cl Sr Se
12 8 2
Cartesian
6.7381 4.9809 0.0000
3.8573 0.0000 4.9809
0.0000 2.1411 7.8207
0.3255 0.0000 4.9809
3.5318 2.8398 2.8398
0.0000 7.8207 7.8207
3.5318 7.1220 2.8398
3.5318 2.8398 7.1220
3.2063 4.9809 0.0000
3.5318 7.1220 7.1220
0.0000 7.8207 2.1411
0.0000 2.1411 2.1411
2.0785 0.0000 7.3702
5.6103 7.5725 4.9809
4.9852 2.5916 0.0000
1.4534 4.9809 2.3893
1.4534 4.9809 7.5725
5.6103 2.3893 4.9809
2.0785 0.0000 2.5916
4.9852 7.3702 0.0000
0.0000 4.9809 4.9809
3.5318 0.0000 0.0000
```

Output
Raw formation energy: -2.38 eV per atom

[4]
CdSi2Cl2: relaxed, GGA-PBE.

Structure (POSCAR):
```
CdSi2Cl2
1.0
-2.5903 -2.0733 0.9333
2.1731 -2.6737 0.0915
1.7173 -0.4814 10.0611
Si Cl Cd
2 2 1
Cartesian
1.8409 -2.7643 5.3325
-0.5408 -2.4641 5.7534
0.9859 -3.3686 7.9815
0.3142 -1.8599 3.1045
0.0000 0.0000 0.0000
```

Output
Raw formation energy: 0.01 eV per atom

[5]
Mg4Cd2In: relaxed, GGA-PBE.

Structure (POSCAR):
```
Mg4Cd2In
1.0
-1.0549 -3.0485 -0.0391
1.5024 1.2727 -6.6715
14.2129 -4.9473 2.2569
Cd Mg In
4 8 2
Cartesian
6.5806 -2.2600 -1.3398
8.0798 -4.4630 -3.1140
1.2051 -0.3889 -2.1934
13.4553 -6.3341 -2.2604
6.5790 -3.9979 1.1089
-0.5275 -1.5242 -0.0196
3.9388 -1.3363 -2.0821
12.5395 -4.3393 0.0095
10.7216 -5.3867 -2.3717
5.3161 -3.4959 -3.9559
9.3443 -3.2271 -0.4978
2.1209 -2.3837 -4.4633
11.6244 -3.9593 -4.9282
3.0360 -2.7637 0.4744
```

Output
ΔH_f (0 K): -0.01 eV per atom

[6]
BaH3O2: relaxed, GGA-PBE.

Structure (POSCAR):
```
BaH3O2
1.0
3.8099 0.0000 0.0000
0.0000 8.0786 -1.1564
-1.9050 -3.0611 6.3204
O H Ba
4 6 2
Cartesian
0.0000 2.9518 0.1644
1.9050 -0.4135 2.4138
1.9050 2.0657 4.9997
0.0000 5.4311 2.7503
1.9050 2.8859 4.4770
1.9050 0.1364 1.6128
0.0000 4.8811 3.5513
0.0000 7.8379 -0.8646
1.9050 -2.8204 6.0287
0.0000 2.1316 0.6871
0.0000 0.0359 4.2646
1.9050 4.9816 0.8995
```

[7]
OsAuSe2: relaxed, GGA-PBE.

Structure (POSCAR):
```
OsAuSe2
1.0
3.0616 0.0000 0.0000
0.0000 4.0896 0.0000
0.0000 0.0000 5.8680
Se Au Os
2 1 1
Cartesian
1.5308 2.0448 1.4568
0.0000 0.0000 5.4620
0.0000 0.0000 2.8619
1.5308 2.0448 4.8891
```

Output
Raw formation energy: 0.54 eV per atom

Calculated values (eV per atom) of calculated total energy for the records, taken in order: -5.77 -3.19 -4.31 -3.08 -1.57 -5.09 -4.82.